First-principles (PBE-GGA) data for crystalline MnGaPb3 at its relaxed geometry, as listed in Alexandria via LeMat-Bulk.

Unit cell a=5.231 b=5.231 c=5.231 alpha=90.00 beta=90.00 gamma=90.00
Fractional coordinates of all 5 atoms:
Mn 0.000 0.000 0.000
Ga 0.500 0.500 0.500
Pb 0.000 0.000 0.500
Pb 0.000 0.500 0.000
Pb 0.500 0.000 0.000

M_tot in μB/cell: 2.50
Relative energy among the computed polymorphs in eV/atom: 0.000
SG: Pm-3m
Energy of formation in meV/atom: 357

***

First-principles (PBE-GGA) data for crystalline MnGa2Pb at its relaxed geometry, as listed in Alexandria via LeMat-Bulk.

Unit cell a=9.559 b=9.559 c=9.559 alpha=153.42 beta=153.42 gamma=37.94
Fractional coordinates of all 8 atoms:
Mn 0.000 0.000 0.000
Mn 0.750 0.250 0.500
Ga 0.032 0.625 0.907
Ga 0.375 0.282 0.407
Ga 0.718 0.125 0.093
Ga 0.875 0.968 0.593
Pb 0.250 0.750 0.500
Pb 0.500 0.500 0.000

M_tot in μB/cell: 6.99
SG: I-42d
Energy of formation in meV/atom: 255

***

First-principles (PBE-GGA) data for crystalline Mn3GaPb at its relaxed geometry, as listed in Alexandria via LeMat-Bulk.

Unit cell a=4.708 b=4.708 c=4.708 alpha=90.00 beta=90.00 gamma=90.00
Fractional coordinates of all 5 atoms:
Mn 0.000 0.000 0.500
Mn 0.000 0.500 0.000
Mn 0.500 0.000 0.000
Ga 0.000 0.000 0.000
Pb 0.500 0.500 0.500

M_tot in μB/cell: 11.29
Relative energy among the computed polymorphs in eV/atom: 0.000
SG: Pm-3m
Energy of formation in meV/atom: 599

***

First-principles (PBE-GGA) data for crystalline Mn3GaPb at its relaxed geometry, as listed in Alexandria via LeMat-Bulk.

Unit cell a=5.137 b=5.137 c=5.137 alpha=90.00 beta=90.00 gamma=90.00
Fractional coordinates of all 5 atoms:
Mn 0.000 0.000 0.500
Mn 0.000 0.500 0.000
Mn 0.500 0.000 0.000
Ga 0.500 0.500 0.500
Pb 0.000 0.000 0.000

M_tot in μB/cell: 12.12
Relative energy among the computed polymorphs in eV/atom: 0.597
SG: Pm-3m
Energy of formation in meV/atom: 1196